# 1
Material: TlCdSb
Method: DFT, PBE
State: relaxed

Unit cell a=7.548 b=4.958 c=9.880 alpha=90.00 beta=90.00 gamma=90.00
Fractional coordinates of all 12 atoms:
Cd 0.628 0.500 0.032
Cd 0.128 0.000 0.468
Cd 0.872 0.500 0.532
Cd 0.372 0.000 0.968
Sb 0.626 0.000 0.195
Sb 0.126 0.500 0.305
Sb 0.874 0.000 0.695
Sb 0.374 0.500 0.805
Tl 0.013 0.000 0.115
Tl 0.513 0.500 0.385
Tl 0.487 0.000 0.615
Tl 0.987 0.500 0.885

Results
Its offset from the most stable computed form is 10.1 kJ/mol of atoms.


# 2
Material: TlCdSb
Method: DFT, PBE
State: relaxed

Unit cell a=4.964 b=4.964 c=8.844 alpha=90.00 beta=90.00 gamma=120.00
Fractional coordinates of all 6 atoms:
Cd 0.000 0.000 0.292
Cd 0.000 0.000 0.792
Sb 0.333 0.667 0.404
Sb 0.667 0.333 0.904
Tl 0.333 0.667 0.054
Tl 0.667 0.333 0.554

Results
Its offset from the most stable computed form is 15.5 kJ/mol of atoms.


# 3
Material: TlCdSb
Method: DFT, PBE
State: relaxed

Unit cell a=5.398 b=5.398 c=6.519 alpha=90.00 beta=90.00 gamma=120.00
Fractional coordinates of all 6 atoms:
Cd 0.000 0.000 0.000
Cd 0.000 0.000 0.500
Sb 0.333 0.667 0.250
Sb 0.667 0.333 0.750
Tl 0.667 0.333 0.250
Tl 0.333 0.667 0.750

Results
Its offset from the most stable computed form is 21.2 kJ/mol of atoms.


# 4
Material: TlCdSb
Method: DFT, PBE
State: relaxed

Unit cell a=4.721 b=4.721 c=8.264 alpha=90.00 beta=90.00 gamma=90.00
Fractional coordinates of all 6 atoms:
Cd 0.000 0.000 0.000
Cd 0.500 0.500 0.000
Sb 0.000 0.500 0.224
Sb 0.500 0.000 0.776
Tl 0.500 0.000 0.355
Tl 0.000 0.500 0.645

Results
Its offset from the most stable computed form is 2.2 kJ/mol of atoms.


# 5
Material: TlCdSb
Method: DFT, PBE
State: relaxed

Unit cell a=7.955 b=7.955 c=4.864 alpha=90.00 beta=90.00 gamma=120.00
Fractional coordinates of all 9 atoms:
Cd 0.566 0.000 0.500
Cd 0.434 0.434 0.500
Cd 0.000 0.566 0.500
Sb 0.254 0.000 0.000
Sb 0.000 0.254 0.000
Sb 0.746 0.746 0.000
Tl 0.667 0.333 0.000
Tl 0.333 0.667 0.000
Tl 0.000 0.000 0.500

Results
Its offset from the most stable computed form is 28.9 kJ/mol of atoms.


# 6
Material: TlCdSb
Method: DFT, PBE
State: relaxed

Unit cell a=6.944 b=4.752 c=10.321 alpha=90.00 beta=90.00 gamma=90.00
Fractional coordinates of all 12 atoms:
Cd 0.867 0.250 0.084
Cd 0.367 0.250 0.416
Cd 0.633 0.750 0.584
Cd 0.133 0.750 0.916
Sb 0.054 0.750 0.214
Sb 0.554 0.750 0.286
Sb 0.446 0.250 0.714
Sb 0.946 0.250 0.786
Tl 0.369 0.250 0.082
Tl 0.869 0.250 0.418
Tl 0.131 0.750 0.582
Tl 0.631 0.750 0.918

Results
Its offset from the most stable computed form is 12.7 kJ/mol of atoms.


# 7
Material: TlCdSb
Method: DFT, PBE
State: relaxed

Unit cell a=7.724 b=7.724 c=5.042 alpha=90.00 beta=90.00 gamma=120.00
Fractional coordinates of all 9 atoms:
Cd 0.246 0.000 0.000
Cd 0.000 0.246 0.000
Cd 0.754 0.754 0.000
Sb 0.667 0.333 0.000
Sb 0.333 0.667 0.000
Sb 0.000 0.000 0.500
Tl 0.567 0.000 0.500
Tl 0.433 0.433 0.500
Tl 0.000 0.567 0.500

Results
Its offset from the most stable computed form is 5.1 kJ/mol of atoms.


# 8
Material: TlCdSb
Method: DFT, PBE
State: relaxed

Unit cell a=8.101 b=4.977 c=8.780 alpha=90.00 beta=90.00 gamma=90.00
Fractional coordinates of all 12 atoms:
Cd 0.913 0.000 0.159
Cd 0.413 0.500 0.341
Cd 0.587 0.000 0.659
Cd 0.087 0.500 0.841
Sb 0.098 0.500 0.189
Sb 0.598 0.000 0.311
Sb 0.402 0.500 0.689
Sb 0.902 0.000 0.811
Tl 0.328 0.000 0.002
Tl 0.828 0.500 0.498
Tl 0.172 0.000 0.502
Tl 0.672 0.500 0.998

Results
Its offset from the most stable computed form is 0.0 kJ/mol of atoms.


# 9
Material: TlCdSb
Method: DFT, PBE
State: relaxed

Unit cell a=8.252 b=8.252 c=4.510 alpha=90.00 beta=90.00 gamma=120.00
Fractional coordinates of all 9 atoms:
Cd 0.579 0.000 0.000
Cd 0.421 0.421 0.000
Cd 0.000 0.579 0.000
Sb 0.000 0.000 0.000
Sb 0.667 0.333 0.500
Sb 0.333 0.667 0.500
Tl 0.261 0.000 0.500
Tl 0.000 0.261 0.500
Tl 0.739 0.739 0.500

Results
Its offset from the most stable computed form is 17.8 kJ/mol of atoms.


# 10
Material: TlCdSb
Method: DFT, PBE
State: relaxed

Unit cell a=4.857 b=4.857 c=9.331 alpha=90.00 beta=90.00 gamma=120.00
Fractional coordinates of all 6 atoms:
Cd 0.667 0.333 0.250
Cd 0.333 0.667 0.750
Sb 0.333 0.667 0.250
Sb 0.667 0.333 0.750
Tl 0.000 0.000 0.000
Tl 0.000 0.000 0.500

Results
Its offset from the most stable computed form is 4.3 kJ/mol of atoms.


# 11
Material: TlCdSb2
Method: DFT, PBE
State: relaxed

Unit cell a=5.374 b=5.374 c=5.374 alpha=60.00 beta=60.00 gamma=60.00
Fractional coordinates of all 4 atoms:
Cd 0.500 0.500 0.500
Sb 0.000 0.000 0.000
Sb 0.250 0.250 0.250
Tl 0.750 0.750 0.750


# 12
Material: TlCdSb
Method: DFT, PBE
State: relaxed

Unit cell a=5.067 b=5.067 c=5.067 alpha=60.00 beta=60.00 gamma=60.00
Fractional coordinates of all 3 atoms:
Cd 0.000 0.000 0.000
Sb 0.250 0.250 0.250
Tl 0.750 0.750 0.750

Results
Its offset from the most stable computed form is 9.2 kJ/mol of atoms.


# 13
Material: CdSb2W
Method: DFT, PBE
State: relaxed

Unit cell a=5.001 b=5.001 c=5.001 alpha=60.00 beta=60.00 gamma=60.00
Fractional coordinates of all 4 atoms:
Cd 0.500 0.500 0.500
Sb 0.000 0.000 0.000
Sb 0.250 0.250 0.250
W 0.750 0.750 0.750


Number 1: uncorrected energy -29.25 eV for the cell shown. Number 2: uncorrected energy -14.29 eV for the cell shown. Number 3: uncorrected energy -13.93 eV for the cell shown. Number 4: uncorrected energy -15.11 eV for the cell shown. Number 5: uncorrected energy -20.18 eV for the cell shown. Number 6: uncorrected energy -28.93 eV for the cell shown. Number 7: uncorrected energy -22.41 eV for the cell shown. Number 8: uncorrected energy -30.51 eV for the cell shown. Number 9: uncorrected energy -21.22 eV for the cell shown. Number 10: uncorrected energy -14.98 eV for the cell shown. Number 11: uncorrected energy -10.95 eV for the cell shown. Number 12: uncorrected energy -7.34 eV for the cell shown. Number 13: uncorrected energy -18.25 eV for the cell shown.